First-principles (PBE) data for a geometry-optimized HoAsPd structure, as listed in the Open Quantum Materials Database.

Values from the calculation:
E_tot	-0.44084	Ry per atom

a = 7.021 Å, b = 4.125 Å, c = 7.934 Å
α = 90.00°, β = 90.00°, γ = 90.00°
Atoms (fractional coordinates):
Ho (0.031, 0.250, 0.190)
Ho (0.469, 0.750, 0.690)
Ho (0.531, 0.250, 0.310)
Ho (0.969, 0.750, 0.810)
As (0.249, 0.250, 0.879)
As (0.251, 0.750, 0.379)
As (0.749, 0.250, 0.621)
As (0.751, 0.750, 0.121)
Pd (0.143, 0.250, 0.563)
Pd (0.357, 0.750, 0.063)
Pd (0.643, 0.250, 0.937)
Pd (0.857, 0.750, 0.437)



First-principles (PBE) data for a geometry-optimized PrHoAs structure, as listed in the Open Quantum Materials Database.

Values from the calculation:
E_tot	-0.39927	Ry per atom

a = 6.953 Å, b = 6.953 Å, c = 6.953 Å
α = 90.00°, β = 90.00°, γ = 90.00°
Atoms (fractional coordinates):
Pr (0.000, 0.000, 0.000)
Pr (0.000, 0.500, 0.500)
Pr (0.500, 0.000, 0.500)
Pr (0.500, 0.500, 0.000)
Ho (0.000, 0.000, 0.500)
Ho (0.000, 0.500, 0.000)
Ho (0.500, 0.000, 0.000)
Ho (0.500, 0.500, 0.500)
As (0.250, 0.250, 0.750)
As (0.250, 0.750, 0.250)
As (0.750, 0.250, 0.250)
As (0.750, 0.750, 0.750)



First-principles (PBE) data for a geometry-optimized Pr2HoAs3 structure, as listed in the Open Quantum Materials Database.

Values from the calculation:
E_tot	-0.45432	Ry per atom

a = 4.237 Å, b = 4.237 Å, c = 10.369 Å
α = 90.00°, β = 90.00°, γ = 120.00°
Atoms (fractional coordinates):
Pr (0.333, 0.667, 0.328)
Pr (0.667, 0.333, 0.672)
Ho (0.000, 0.000, 0.000)
As (0.000, 0.000, 0.500)
As (0.333, 0.667, 0.844)
As (0.667, 0.333, 0.156)



First-principles (PBE) data for a geometry-optimized PrHoAs2Pt2 structure, as listed in the Open Quantum Materials Database.

Values from the calculation:
excess energy over the best structure of this formula in the dataset	0.00	kcal/mol of atoms

a = 4.328 Å, b = 4.328 Å, c = 15.598 Å
α = 90.00°, β = 90.00°, γ = 120.00°
Atoms (fractional coordinates):
Pr (0.000, 0.000, 0.000)
Pr (0.000, 0.000, 0.500)
Ho (0.000, 0.000, 0.250)
Ho (0.000, 0.000, 0.750)
As (0.333, 0.667, 0.120)
As (0.333, 0.667, 0.380)
As (0.667, 0.333, 0.620)
As (0.667, 0.333, 0.880)
Pt (0.333, 0.667, 0.643)
Pt (0.333, 0.667, 0.857)
Pt (0.667, 0.333, 0.143)
Pt (0.667, 0.333, 0.357)



First-principles (PBE) data for a geometry-optimized SmHoAs2Pt2 structure, as listed in the Open Quantum Materials Database.

Values from the calculation:
excess energy over the best structure of this formula in the dataset	0.00	kcal/mol of atoms

a = 4.308 Å, b = 4.308 Å, c = 15.417 Å
α = 90.00°, β = 90.00°, γ = 120.00°
Atoms (fractional coordinates):
Sm (0.000, 0.000, 0.000)
Sm (0.000, 0.000, 0.500)
Ho (0.000, 0.000, 0.250)
Ho (0.000, 0.000, 0.750)
As (0.333, 0.667, 0.118)
As (0.333, 0.667, 0.382)
As (0.667, 0.333, 0.618)
As (0.667, 0.333, 0.882)
Pt (0.333, 0.667, 0.641)
Pt (0.333, 0.667, 0.859)
Pt (0.667, 0.333, 0.141)
Pt (0.667, 0.333, 0.359)



First-principles (PBE) data for a geometry-optimized Rb3HoAs2 structure, as listed in the Open Quantum Materials Database.

Values from the calculation:
E_tot	-0.22257	Ry per atom

a = 8.136 Å, b = 8.136 Å, c = 8.482 Å
α = 95.04°, β = 95.04°, γ = 88.01°
Atoms (fractional coordinates):
Rb (0.187, 0.813, 0.750)
Rb (0.247, 0.333, 0.014)
Rb (0.333, 0.247, 0.514)
Rb (0.667, 0.753, 0.486)
Rb (0.753, 0.667, 0.986)
Rb (0.813, 0.187, 0.250)
Ho (0.200, 0.800, 0.250)
Ho (0.800, 0.200, 0.750)
As (0.058, 0.568, 0.391)
As (0.432, 0.942, 0.109)
As (0.568, 0.058, 0.891)
As (0.942, 0.432, 0.609)



First-principles (PBE) data for a geometry-optimized RbHoTe3As structure, as listed in the Open Quantum Materials Database.

Values from the calculation:
E_tot	-0.29225	Ry per atom

a = 8.974 Å, b = 8.974 Å, c = 11.243 Å
α = 90.00°, β = 90.00°, γ = 151.32°
Atoms (fractional coordinates):
Rb (0.239, 0.761, 0.750)
Rb (0.761, 0.239, 0.250)
Ho (0.000, 0.000, 0.000)
Ho (0.000, 0.000, 0.500)
Te (0.085, 0.915, 0.250)
Te (0.377, 0.623, 0.041)
Te (0.377, 0.623, 0.459)
Te (0.623, 0.377, 0.541)
Te (0.623, 0.377, 0.959)
Te (0.915, 0.085, 0.750)
As (0.458, 0.542, 0.250)
As (0.542, 0.458, 0.750)



First-principles (PBE) data for a geometry-optimized HoAsS structure, as listed in the Open Quantum Materials Database.

Values from the calculation:
E_tot	-0.44171	Ry per atom

a = 16.922 Å, b = 3.809 Å, c = 3.834 Å
α = 90.00°, β = 90.00°, γ = 90.00°
Atoms (fractional coordinates):
Ho (0.146, 0.250, 0.232)
Ho (0.354, 0.750, 0.732)
Ho (0.646, 0.250, 0.268)
Ho (0.854, 0.750, 0.768)
As (0.001, 0.250, 0.723)
As (0.499, 0.750, 0.223)
As (0.501, 0.250, 0.777)
As (0.999, 0.750, 0.277)
S (0.187, 0.750, 0.733)
S (0.313, 0.250, 0.233)
S (0.687, 0.750, 0.767)
S (0.813, 0.250, 0.267)



| no. | volume (Å³ per cell) | calculated density (g cm⁻³) |
| --- | --- | --- |
| 1 | 230 | 10.01 |
| 2 | 336 | 7.52 |
| 3 | 161 | 6.92 |
| 4 | 253 | 11.10 |
| 5 | 248 | 11.46 |
| 6 | 557 | 3.41 |
| 7 | 435 | 5.41 |
| 8 | 247 | 7.31 |